Entry 1:
# Pr3PuTh2As6 GGA-PBE relaxed
data_Pr3PuTh2As6
_chemical_formula_sum 'Pr6 Pu2 Th4 As12'
_cell_length_a 18.6093
_cell_length_b 4.2691
_cell_length_c 8.5294
_cell_angle_alpha 90.00
_cell_angle_beta 103.39
_cell_angle_gamma 90.00
_symmetry_space_group_name_H-M 'C 1 2/m 1'
_symmetry_Int_Tables_number 12
loop_
_symmetry_equiv_pos_as_xyz
'x,y,z'
'-x,-y,-z'
'-x,y,-z'
'x,-y,z'
'x+1/2,y+1/2,z'
'-x+1/2,-y+1/2,-z'
'-x+1/2,y+1/2,-z'
'x+1/2,-y+1/2,z'
loop_
_atom_site_label
_atom_site_type_symbol
_atom_site_fract_x
_atom_site_fract_y
_atom_site_fract_z
Pr1 Pr 0.0000 0.0000 0.0000
Pr2 Pr 0.1664 0.5000 0.3338
Pu1 Pu 0.0000 0.0000 0.5000
Th1 Th 0.1649 0.5000 0.8302
As1 As 0.0010 0.5000 0.7428
As2 As 0.1647 0.0000 0.5856
As3 As 0.1685 0.0000 0.0797
# Calculated formation energy   -1410 meV/atom

=====

Entry 2:
# PrPu2ThAs4 GGA-PBE relaxed
data_PrPu2ThAs4
_chemical_formula_sum 'Pr1 Pu2 Th1 As4'
_cell_length_a 7.2654
_cell_length_b 4.2278
_cell_length_c 7.3227
_cell_angle_alpha 90.00
_cell_angle_beta 109.60
_cell_angle_gamma 90.00
_symmetry_space_group_name_H-M 'P 1 2/m 1'
_symmetry_Int_Tables_number 10
loop_
_symmetry_equiv_pos_as_xyz
'x,y,z'
'-x,-y,-z'
'-x,y,-z'
'x,-y,z'
loop_
_atom_site_label
_atom_site_type_symbol
_atom_site_fract_x
_atom_site_fract_y
_atom_site_fract_z
Pr1 Pr 0.0000 0.0000 0.0000
Pu1 Pu 0.5000 0.0000 0.5000
Pu2 Pu 0.5000 0.5000 0.0000
Th1 Th 0.0000 0.5000 0.5000
As1 As 0.2584 0.0000 0.7503
As2 As 0.2612 0.5000 0.2567
# Calculated formation energy   -1257 meV/atom

=====

Entry 3:
# Pr2TmPuAs4 GGA-PBE relaxed
data_Pr2TmPuAs4
_chemical_formula_sum 'Pr2 Tm1 Pu1 As4'
_cell_length_a 7.2665
_cell_length_b 4.2121
_cell_length_c 7.2748
_cell_angle_alpha 90.00
_cell_angle_beta 109.46
_cell_angle_gamma 90.00
_symmetry_space_group_name_H-M 'P 1 2/m 1'
_symmetry_Int_Tables_number 10
loop_
_symmetry_equiv_pos_as_xyz
'x,y,z'
'-x,-y,-z'
'-x,y,-z'
'x,-y,z'
loop_
_atom_site_label
_atom_site_type_symbol
_atom_site_fract_x
_atom_site_fract_y
_atom_site_fract_z
Pr1 Pr 0.0000 0.0000 0.0000
Pr2 Pr 0.5000 0.5000 0.0000
Tm1 Tm 0.0000 0.5000 0.5000
Pu1 Pu 0.5000 0.0000 0.5000
As1 As 0.2444 0.0000 0.7351
As2 As 0.2544 0.5000 0.2647
# Calculated formation energy   -1362 meV/atom

=====

Entry 4:
# Pr2PuUAs4 GGA-PBE relaxed
data_Pr2PuUAs4
_chemical_formula_sum 'Pr2 Pu1 U1 As4'
_cell_length_a 7.2675
_cell_length_b 4.1894
_cell_length_c 7.3208
_cell_angle_alpha 90.00
_cell_angle_beta 109.22
_cell_angle_gamma 90.00
_symmetry_space_group_name_H-M 'P 1 2/m 1'
_symmetry_Int_Tables_number 10
loop_
_symmetry_equiv_pos_as_xyz
'x,y,z'
'-x,-y,-z'
'-x,y,-z'
'x,-y,z'
loop_
_atom_site_label
_atom_site_type_symbol
_atom_site_fract_x
_atom_site_fract_y
_atom_site_fract_z
Pr1 Pr 0.0000 0.0000 0.0000
Pr2 Pr 0.5000 0.5000 0.0000
Pu1 Pu 0.0000 0.5000 0.5000
U1 U 0.5000 0.0000 0.5000
As1 As 0.2490 0.0000 0.7342
As2 As 0.2585 0.5000 0.2656
# Calculated formation energy   -1188 meV/atom

=====

Entry 5:
# PrPu2UAs4 GGA-PBE relaxed
data_PrPu2UAs4
_chemical_formula_sum 'Pr2 Pu4 U2 As8'
_cell_length_a 5.8961
_cell_length_b 5.8961
_cell_length_c 11.7804
_cell_angle_alpha 90.00
_cell_angle_beta 90.00
_cell_angle_gamma 90.00
_symmetry_space_group_name_H-M 'I -4 m 2'
_symmetry_Int_Tables_number 119
_symmetry_space_group_name_Hall 'I -4 -2'
loop_
_atom_site_label
_atom_site_type_symbol
_atom_site_fract_x
_atom_site_fract_y
_atom_site_fract_z
Pr1 Pr 0.0000 0.0000 0.0000
Pu1 Pu 0.0000 0.0000 0.5000
Pu2 Pu 0.0000 0.5000 0.2500
U1 U 0.0000 0.5000 0.7500
As1 As 0.0000 0.0000 0.2552
As2 As 0.0000 0.5000 0.5041
# Calculated formation energy   -1031 meV/atom

=====

Entry 6:
# PrPuU2As4 GGA-PBE relaxed
data_PrPuU2As4
_chemical_formula_sum 'Pr2 Pu2 U4 As8'
_cell_length_a 5.8689
_cell_length_b 5.8689
_cell_length_c 11.7380
_cell_angle_alpha 90.00
_cell_angle_beta 90.00
_cell_angle_gamma 90.00
_symmetry_space_group_name_H-M 'I -4 m 2'
_symmetry_Int_Tables_number 119
_symmetry_space_group_name_Hall 'I -4 -2'
loop_
_atom_site_label
_atom_site_type_symbol
_atom_site_fract_x
_atom_site_fract_y
_atom_site_fract_z
Pr1 Pr 0.0000 0.0000 0.0000
Pu1 Pu 0.0000 0.5000 0.7500
U1 U 0.0000 0.0000 0.5000
U2 U 0.0000 0.5000 0.2500
As1 As 0.0000 0.0000 0.2568
As2 As 0.0000 0.5000 0.0035
# Calculated formation energy   -954 meV/atom

=====

Calculated energy in order - -176.65; -69.52; -57.86; -63.28; -143.16; -135.84 eV for the cell shown